## one
A plane-wave DFT calculation with PBE was carried out for a relaxed Li5Ag2Pd2 crystal.

Structure (POSCAR):
```
Li5Ag2Pd2
1.0
-5.388 1.450 3.231
-3.293 0.070 -5.523
0.254 -6.867 3.506
Li Pd Ag
10 4 4
Direct
0.663 0.292 0.259
0.337 0.967 0.259
0.663 0.033 0.741
0.837 0.533 0.741
0.837 0.792 0.259
0.163 0.467 0.259
0.000 0.000 0.000
0.163 0.208 0.741
0.337 0.708 0.741
0.500 0.500 0.000
0.355 0.145 0.000
0.855 0.355 0.000
0.145 0.645 0.000
0.645 0.855 0.000
0.500 0.286 0.572
0.000 0.786 0.572
0.500 0.714 0.428
0.000 0.214 0.428
```

Computed properties:
Symmetry: Cmce
ρ (kg/m3): 5292

## two
A plane-wave DFT calculation with PBE was carried out for a relaxed Li5Ag2Pd2 crystal.

Structure (POSCAR):
```
Li5Ag2Pd2
1.0
2.790 0.000 -0.575
0.131 7.587 0.635
0.029 0.998 7.190
Ag Li Pd
2 5 2
Direct
0.831 0.898 0.661
0.169 0.102 0.339
0.333 0.227 0.666
0.667 0.773 0.334
0.887 0.537 0.773
0.000 0.000 0.000
0.113 0.463 0.227
0.504 0.293 0.007
0.496 0.707 0.993
```

Computed properties:
Symmetry: C2/m
ρ (kg/m3): 5112

Here are the energies relative to the best structure, in kJ/mol of atoms: one 5.7; two 0.0.

## one
A plane-wave DFT calculation with PBE was carried out for a relaxed LiAg2Pd3 crystal.

Structure (POSCAR):
```
LiAg2Pd3
1.0
5.401 0.000 0.000
0.000 8.982 0.000
0.000 -4.491 4.078
Pd Ag Li
6 4 2
Direct
0.000 0.500 0.000
0.500 0.164 0.328
0.500 0.836 0.672
0.000 0.836 0.672
0.500 0.500 0.000
0.000 0.164 0.328
0.750 0.440 0.343
0.250 0.903 0.343
0.750 0.097 0.657
0.250 0.560 0.657
0.250 0.234 0.000
0.750 0.766 0.000
```

Computed properties:
Symmetry: Cmcm
ρ (kg/m3): 9097

## two
A plane-wave DFT calculation with PBE was carried out for a relaxed LiAg2Pd3 crystal.

Structure (POSCAR):
```
LiAg2Pd3
1.0
-2.448 4.288 1.892
-1.215 -1.831 -4.809
-5.660 -4.642 3.197
Li Pd Ag
2 6 4
Direct
0.000 0.000 0.000
0.000 0.000 0.500
0.832 0.664 0.750
0.168 0.832 0.250
0.832 0.168 0.750
0.168 0.336 0.250
0.664 0.832 0.250
0.336 0.168 0.750
0.667 0.333 0.070
0.333 0.667 0.570
0.333 0.667 0.930
0.667 0.333 0.430
```

Computed properties:
Symmetry: P6_3/mmc
ρ (kg/m3): 9307

Here are the energies relative to the best structure, in kJ/mol of atoms: one 4.4; two 0.0.